Record 1
Compound: Na2ReAuI
Source: Alexandria
Functional: PBE
Structure: relaxed

Cell and atoms, written as POSCAR:
```
Na2ReAuI
1.0
5.7101 0.0000 0.0000
0.0000 5.6230 0.0000
0.0000 0.0000 5.7101
I Re Au Na
1 1 1 2
direct
0.0000 0.0000 0.0000
0.5000 0.5000 0.5000
0.0000 0.5000 0.0000
0.0000 0.0000 0.5000
0.5000 0.0000 0.0000
```

Computed properties:
DFT total energy in eV per atom: -2.745
M_tot in μB/cell: 4.43
SG: P4/mmm, No. 123
E_form (uncorrected) in eV per atom: 1.238

Record 2
Compound: PmYTcO6
Source: Alexandria
Functional: PBE
Structure: relaxed

Cell and atoms, written as POSCAR:
```
PmYTcO6
1.0
-3.5123 3.6918 -2.3100
-1.9679 -3.9855 3.3979
1.1535 5.6950 7.3478
Pm Y Tc O
2 2 2 12
direct
0.3333 0.6667 0.2500
0.6667 0.3333 0.7500
0.0000 0.0000 0.0000
0.0000 0.0000 0.5000
0.6667 0.3333 0.2500
0.3333 0.6667 0.7500
0.6827 0.6283 0.1332
0.9456 0.3173 0.1332
0.3173 0.9456 0.6332
0.0544 0.6827 0.8668
0.3717 0.3173 0.3668
0.9456 0.6283 0.3668
0.6283 0.9456 0.8668
0.6827 0.0544 0.3668
0.0544 0.3717 0.6332
0.3717 0.0544 0.1332
0.6283 0.6827 0.6332
0.3173 0.3717 0.8668
```

Computed properties:
DFT total energy in eV per atom: -8.156
M_tot in μB/cell: 2.05
SG: P-31c, No. 163
E_form (uncorrected) in eV per atom: -2.453

Record 3
Compound: Sr3FeSi
Source: Alexandria
Functional: PBE
Structure: relaxed

Cell and atoms, written as POSCAR:
```
Sr3FeSi
1.0
-0.0200 -2.3062 -5.5583
-3.3039 -4.6414 1.9377
-5.0296 3.0581 -1.2507
Sr Si Fe
3 1 1
direct
0.0000 0.5000 0.0000
0.0000 0.0000 0.5000
0.5000 0.0000 0.0000
0.0000 0.0000 0.0000
0.5000 0.5000 0.5000
```

Computed properties:
DFT total energy in eV per atom: -3.288
M_tot in μB/cell: 2.86
SG: Pm-3m, No. 221
E_form (uncorrected) in eV per atom: 0.498

Record 4
Compound: Li3CeNd2Se6
Source: Alexandria
Functional: PBE
Structure: relaxed

Cell and atoms, written as POSCAR:
```
Li3CeNd2Se6
1.0
7.2901 -0.0011 0.0012
-3.6442 6.3139 0.0012
-1.2158 -2.1051 6.5182
Li Ce Nd Se
3 1 2 6
direct
0.1676 0.8324 0.5000
0.8324 0.1676 0.5000
0.5000 0.5000 0.5000
0.0000 0.0000 0.0000
0.3334 0.6666 0.0000
0.6666 0.3334 0.0000
0.9134 0.5809 0.7400
0.7541 0.7541 0.2594
0.0866 0.4191 0.2600
0.5809 0.9134 0.7400
0.2459 0.2459 0.7406
0.4191 0.0866 0.2600
```

Computed properties:
DFT total energy in eV per atom: -5.150
M_tot in μB/cell: 0.97
SG: C2/m, No. 12
E_form (uncorrected) in eV per atom: -1.640

Repeat the second record exactly.
Compound: PmYTcO6
Source: Alexandria
Functional: PBE
Structure: relaxed

Cell and atoms, written as POSCAR:
```
PmYTcO6
1.0
-3.5123 3.6918 -2.3100
-1.9679 -3.9855 3.3979
1.1535 5.6950 7.3478
Pm Y Tc O
2 2 2 12
direct
0.3333 0.6667 0.2500
0.6667 0.3333 0.7500
0.0000 0.0000 0.0000
0.0000 0.0000 0.5000
0.6667 0.3333 0.2500
0.3333 0.6667 0.7500
0.6827 0.6283 0.1332
0.9456 0.3173 0.1332
0.3173 0.9456 0.6332
0.0544 0.6827 0.8668
0.3717 0.3173 0.3668
0.9456 0.6283 0.3668
0.6283 0.9456 0.8668
0.6827 0.0544 0.3668
0.0544 0.3717 0.6332
0.3717 0.0544 0.1332
0.6283 0.6827 0.6332
0.3173 0.3717 0.8668
```

Computed properties:
DFT total energy in eV per atom: -8.156
M_tot in μB/cell: 2.05
SG: P-31c, No. 163
E_form (uncorrected) in eV per atom: -2.453